{
  "formula": "Ho2GaRh",
  "functional": "GGA-PBE",
  "state": "optimized geometry",
  "lattice": [[-1.9522, -3.3947, -2.0471], [5.0799, -1.4910, -2.3718], [-1.3067, -3.2717, 6.6716]],
  "species": ["Ga", "Ga", "Ho", "Ho", "Ho", "Ho", "Rh", "Rh"],
  "fractional_positions": [[0.2500, 0.3288, 0.7045], [0.7500, 0.6712, 0.2955], [0.7500, 0.2359, 0.4132], [0.7500, 0.2038, 0.9291], [0.2500, 0.7641, 0.5868], [0.2500, 0.7962, 0.0709], [0.2500, 0.3587, 0.2099], [0.7500, 0.6413, 0.7901]],
  "space_group": "P2_1/m",
  "e_form_ev_per_atom": -0.75
}